[1]
## CaNiAgGe (PBE-GGA)

Data for a geometry-optimized CaNiAgGe structure.

abc: 4.0350 4.0350 9.9694
angles: 90.00 90.00 90.00
Positions (direct):
Ca (0.7500, 0.7500, 0.2436)
Ca (0.2500, 0.2500, 0.7564)
Ni (0.7500, 0.2500, 0.0000)
Ni (0.2500, 0.7500, 0.0000)
Ag (0.2500, 0.7500, 0.5000)
Ag (0.7500, 0.2500, 0.5000)
Ge (0.7500, 0.7500, 0.8749)
Ge (0.2500, 0.2500, 0.1251)

Results
As for the total energy: -4.18 eV/atom. The value obtained for the size of the total moment is 0.00 μB per formula unit. The value obtained for the calculated density is 5.714 Mg/m³. For the volume, the calculation gives 20.289 Å³ per atom. The space-group type is P4/nmm. For the density of states at the Fermi level, the calculation gives 4.0 states/eV/cell.



[2]
## Li2AlMo (PBE-GGA)

Data for a geometry-optimized Li2AlMo structure.

abc: 2.5942 4.5733 5.2363
angles: 90.00 90.00 90.00
Positions (direct):
Al (0.5000, 0.5000, 0.7500)
Li (0.0000, 0.0000, 0.0075)
Li (0.0000, 0.0000, 0.4925)
Mo (0.5000, 0.5000, 0.2500)

Results
As for the total energy: -4.35 eV/atom. The value obtained for the size of the total moment is 0.00 μB per formula unit. The value obtained for the calculated density is 3.657 Mg/m³. For the volume, the calculation gives 15.531 Å³ per atom. The space-group type is Pmmm. For the density of states at the Fermi level, the calculation gives 3.2 states/eV/cell.



[3]
## Nb3V5Ge2 (PBE-GGA)

Data for a geometry-optimized Nb3V5Ge2 structure.

abc: 5.2726 8.4619 8.4619
angles: 68.94 71.85 71.85
Positions (direct):
Nb (0.2500, 0.0000, 0.0000)
Nb (0.7500, 0.0000, 0.0000)
Nb (0.3270, 0.4410, 0.9050)
Nb (0.6730, 0.5590, 0.0950)
Nb (0.8270, 0.9050, 0.4410)
Nb (0.1730, 0.0950, 0.5590)
V (0.2500, 0.5000, 0.5000)
V (0.7500, 0.5000, 0.5000)
V (0.4483, 0.8017, 0.8017)
V (0.0517, 0.1983, 0.1983)
V (0.5517, 0.1983, 0.1983)
V (0.9483, 0.8017, 0.8017)
V (0.1534, 0.3922, 0.3011)
V (0.8466, 0.6078, 0.6989)
V (0.6534, 0.3011, 0.3922)
V (0.3466, 0.6989, 0.6078)
Ge (0.1033, 0.6867, 0.1066)
Ge (0.8967, 0.3133, 0.8934)
Ge (0.6033, 0.1066, 0.6867)
Ge (0.3967, 0.8934, 0.3133)

Results
As for the total energy: -8.41 eV/atom. The value obtained for the size of the total moment is 0.00 μB per formula unit. The value obtained for the calculated density is 6.910 Mg/m³. For the volume, the calculation gives 16.310 Å³ per atom. The space-group type is Ibam. For the density of states at the Fermi level, the calculation gives 21.5 states/eV/cell.



[4]
## CdPb2Au (PBE-GGA)

Data for a geometry-optimized CdPb2Au structure.

abc: 4.8978 4.9062 4.2747
angles: 90.00 90.00 90.00
Positions (direct):
Pb (0.0000, 0.0000, 0.0000)
Pb (0.5000, 0.5000, 0.0000)
Au (0.5000, 0.0000, 0.5000)
Cd (0.0000, 0.5000, 0.5000)

Results
As for the total energy: -2.87 eV/atom. The value obtained for the size of the total moment is 0.00 μB per formula unit. The value obtained for the calculated density is 11.700 Mg/m³. For the volume, the calculation gives 25.680 Å³ per atom. The space-group type is P4/mmm. For the density of states at the Fermi level, the calculation gives 2.1 states/eV/cell.



[5]
## SrLi3Al (PBE-GGA)

Data for a geometry-optimized SrLi3Al structure.

abc: 6.4143 6.2279 7.5647
angles: 66.21 65.75 90.28
Positions (direct):
Sr (0.2707, 0.6148, 0.2311)
Sr (0.3979, 0.9377, 0.5881)
Li (0.8360, 0.9182, 0.0835)
Li (0.8636, 0.1430, 0.6791)
Li (0.8336, 0.4556, 0.0856)
Li (0.8630, 0.6435, 0.6804)
Li (0.4900, 0.2518, 0.9569)
Li (0.0100, 0.0921, 0.2771)
Al (0.6465, 0.4912, 0.4812)
Al (0.1835, 0.3372, 0.7903)

Results
As for the total energy: -2.28 eV/atom. The value obtained for the size of the total moment is 0.00 μB per formula unit. The value obtained for the calculated density is 1.822 Mg/m³. For the volume, the calculation gives 24.680 Å³ per atom. The value obtained for the polymorph energy (0 for the lowest one) is 0.00 eV/f.u. The space-group type is P1. For the density of states at the Fermi level, the calculation gives 6.5 states/eV/cell.



[6]
## LaThAs2 (PBE-GGA)

Data for a geometry-optimized LaThAs2 structure.

abc: 4.2341 4.2341 7.7962
angles: 74.24 74.24 60.00
Positions (direct):
La (0.4963, 0.4963, 0.5111)
Th (0.6694, 0.6694, 0.9919)
As (0.0799, 0.0799, 0.7602)
As (0.2544, 0.2544, 0.2369)

Results
As for the total energy: -6.78 eV/atom. The value obtained for the size of the total moment is 0.00 μB per formula unit. The value obtained for the calculated density is 7.524 Mg/m³. For the volume, the calculation gives 28.735 Å³ per atom. The value obtained for the polymorph energy (0 for the lowest one) is 0.54 eV/f.u. The space-group type is R3m. For the density of states at the Fermi level, the calculation gives 2.8 states/eV/cell.